Material: YZrCr2O6
Method: DFT, PBE+U
State: optimized geometry Values from VASP.

Properties
As for the space-group type: P1, No. 1. The size of the total moment comes out at 7.0 μB per cell. Its total energy is -86.29 eV per cell.

Cell and atoms, written as Quantum ESPRESSO input:
```
&SYSTEM
  ibrav = 0, nat = 10, ntyp = 4
/
ATOMIC_SPECIES
Y 88.91 Y.upf
Zr 91.22 Zr.upf
Cr 52.00 Cr.upf
O 16.00 O.upf
ATOMIC_POSITIONS crystal
Y 0.000 0.000 0.000
Zr 0.517 0.975 0.532
Cr 0.218 0.569 0.631
Cr 0.724 0.551 0.155
O 0.141 0.025 0.370
O 0.327 0.106 0.823
O 0.435 0.446 0.362
O 0.580 0.492 0.844
O 0.830 0.744 0.359
O 0.931 0.723 0.844
CELL_PARAMETERS angstrom
5.353 0.000 0.000
2.645 4.770 0.000
0.010 2.937 4.882
```